No. 1
# Tb6Sm8Er

Tb6Sm8Er after structural relaxation (PBE, Alexandria).

Geometry as POSCAR:
```
Tb6Sm8Er
1.0
9.406 0.000 0.000
-4.703 8.145 0.000
0.000 0.000 6.551
Tb Sm Er
6 8 1
Direct
0.090 0.654 0.160 Tb
0.346 0.436 0.160 Tb
0.436 0.090 0.840 Tb
0.564 0.910 0.160 Tb
0.654 0.564 0.840 Tb
0.910 0.346 0.840 Tb
0.033 0.750 0.666 Sm
0.250 0.283 0.666 Sm
0.283 0.033 0.334 Sm
0.333 0.667 0.619 Sm
0.667 0.333 0.381 Sm
0.717 0.967 0.666 Sm
0.750 0.717 0.334 Sm
0.967 0.250 0.334 Sm
0.000 0.000 0.000 Er
```

Excess energy over the best structure of this formula in the dataset, eV/f.u.: 0.799
Formation enthalpy at 0 K, eV/atom: 0.175
Space-group type: P-3 (147)

=====

No. 2
# MgIrBr2

MgIrBr2 after structural relaxation (PBE, Alexandria).

Geometry as POSCAR:
```
MgIrBr2
1.0
5.262 0.000 0.000
0.000 3.746 0.000
-2.601 0.000 6.700
Mg Ir Br
1 1 2
Direct
0.000 0.000 0.000 Mg
0.500 0.000 0.000 Ir
0.375 0.500 0.750 Br
0.625 0.500 0.250 Br
```

Excess energy over the best structure of this formula in the dataset, eV/f.u.: 0.815
Space-group type: P2/m (10)
Raw formation energy, meV/atom: -33

=====

No. 3
# YTmGe2

YTmGe2 after structural relaxation (PBE, Alexandria).

Geometry as POSCAR:
```
YTmGe2
1.0
5.278 0.000 0.000
0.000 5.278 0.000
0.000 0.000 3.223
Y Tm Ge
1 1 2
Direct
0.000 0.000 0.000 Y
0.500 0.500 0.000 Tm
0.000 0.500 0.500 Ge
0.500 0.000 0.500 Ge
```

Excess energy over the best structure of this formula in the dataset, eV/f.u.: 1.065
Formation enthalpy at 0 K, eV/atom: -0.599
Space-group type: P4/mmm (123)

=====

No. 4
# Cs2MnCrCl6

Cs2MnCrCl6 after structural relaxation (PBE, Alexandria).

Geometry as POSCAR:
```
Cs2MnCrCl6
1.0
0.000 5.115 5.115
5.115 0.000 5.115
5.115 5.115 0.000
Cs Mn Cr Cl
2 1 1 6
Direct
0.250 0.250 0.250 Cs
0.750 0.750 0.750 Cs
0.000 0.000 0.000 Mn
0.500 0.500 0.500 Cr
0.250 0.250 0.750 Cl
0.250 0.750 0.250 Cl
0.250 0.750 0.750 Cl
0.750 0.250 0.250 Cl
0.750 0.250 0.750 Cl
0.750 0.750 0.250 Cl
```

Space-group type: Fm-3m (225)
Raw formation energy, meV/atom: -1419

=====

No. 5
# KAsPd2

KAsPd2 after structural relaxation (PBE, Alexandria).

Geometry as POSCAR:
```
KAsPd2
1.0
5.422 0.000 0.000
0.000 5.422 0.000
0.000 0.000 15.792
K As Pd
4 4 8
Direct
0.000 0.250 0.375 K
0.000 0.750 0.625 K
0.500 0.250 0.125 K
0.500 0.750 0.875 K
0.000 0.250 0.875 As
0.000 0.750 0.125 As
0.500 0.250 0.625 As
0.500 0.750 0.375 As
0.000 0.000 0.000 Pd
0.000 0.500 0.000 Pd
0.250 0.250 0.750 Pd
0.250 0.750 0.250 Pd
0.500 0.000 0.500 Pd
0.500 0.500 0.500 Pd
0.750 0.250 0.750 Pd
0.750 0.750 0.250 Pd
```

Formation enthalpy at 0 K, eV/atom: -0.246
Space-group type: I4_1/amd (141)

=====

No. 6
# TmBe3Ni2

TmBe3Ni2 after structural relaxation (PBE, Alexandria).

Geometry as POSCAR:
```
TmBe3Ni2
1.0
4.335 -3.431 0.000
4.335 3.431 0.000
0.000 0.000 4.911
Tm Be Ni
2 6 4
Direct
0.173 0.827 0.750 Tm
0.827 0.173 0.250 Tm
0.038 0.595 0.250 Be
0.405 0.962 0.250 Be
0.429 0.571 0.250 Be
0.571 0.429 0.750 Be
0.595 0.038 0.750 Be
0.962 0.405 0.750 Be
0.295 0.295 0.000 Ni
0.295 0.295 0.500 Ni
0.705 0.705 0.000 Ni
0.705 0.705 0.500 Ni
```

Formation enthalpy at 0 K, eV/atom: -0.359
Space-group type: Cmcm (63)

=====

No. 7
# CeSbPd4

CeSbPd4 after structural relaxation (PBE, Alexandria).

Geometry as POSCAR:
```
CeSbPd4
1.0
2.467 -6.607 0.000
2.467 6.607 0.000
0.000 0.000 7.443
Ce Sb Pd
2 2 8
Direct
0.115 0.885 0.750 Ce
0.885 0.115 0.250 Ce
0.355 0.645 0.750 Sb
0.645 0.355 0.250 Sb
0.085 0.915 0.250 Pd
0.279 0.721 0.072 Pd
0.279 0.721 0.428 Pd
0.500 0.500 0.000 Pd
0.500 0.500 0.500 Pd
0.721 0.279 0.572 Pd
0.721 0.279 0.928 Pd
0.915 0.085 0.750 Pd
```

Excess energy over the best structure of this formula in the dataset, eV/f.u.: 0.479
Space-group type: Cmcm (63)
Raw formation energy, meV/atom: -496

=====

No. 8
# Pm5AlPt4

Pm5AlPt4 after structural relaxation (PBE, Alexandria).

Geometry as POSCAR:
```
Pm5AlPt4
1.0
3.602 0.000 0.000
0.000 3.602 0.000
0.000 0.000 18.107
Pm Al Pt
5 1 4
Direct
0.000 0.000 0.000 Pm
0.000 0.000 0.197 Pm
0.000 0.000 0.392 Pm
0.000 0.000 0.608 Pm
0.000 0.000 0.803 Pm
0.500 0.500 0.500 Al
0.500 0.500 0.099 Pt
0.500 0.500 0.298 Pt
0.500 0.500 0.702 Pt
0.500 0.500 0.901 Pt
```

Formation enthalpy at 0 K, eV/atom: -0.931
Space-group type: P4/mmm (123)

=====

No. 9
# MgSc4W

MgSc4W after structural relaxation (PBE, Alexandria).

Geometry as POSCAR:
```
MgSc4W
1.0
0.000 4.006 4.006
4.006 0.000 4.006
4.006 4.006 0.000
Mg Sc W
1 4 1
Direct
0.000 0.000 0.000 Mg
0.131 0.623 0.623 Sc
0.623 0.131 0.623 Sc
0.623 0.623 0.131 Sc
0.623 0.623 0.623 Sc
0.250 0.250 0.250 W
```

Formation enthalpy at 0 K, eV/atom: 0.579
Space-group type: F-43m (216)

=====

No. 10
# SmDy3

SmDy3 after structural relaxation (PBE, Alexandria).

Geometry as POSCAR:
```
SmDy3
1.0
8.033 0.000 0.000
0.000 8.033 0.000
0.000 0.000 8.033
Sm Dy
4 12
Direct
0.000 0.000 0.000 Sm
0.000 0.500 0.500 Sm
0.500 0.000 0.500 Sm
0.500 0.500 0.000 Sm
0.000 0.000 0.500 Dy
0.000 0.500 0.000 Dy
0.250 0.250 0.250 Dy
0.250 0.250 0.750 Dy
0.250 0.750 0.250 Dy
0.250 0.750 0.750 Dy
0.500 0.000 0.000 Dy
0.500 0.500 0.500 Dy
0.750 0.250 0.250 Dy
0.750 0.250 0.750 Dy
0.750 0.750 0.250 Dy
0.750 0.750 0.750 Dy
```

Excess energy over the best structure of this formula in the dataset, eV/f.u.: 0.522
Formation enthalpy at 0 K, eV/atom: 0.143
Space-group type: Fm-3m (225)

=====

No. 11
# MnZnW

MnZnW after structural relaxation (PBE, Alexandria).

Geometry as POSCAR:
```
MnZnW
1.0
4.251 0.000 0.000
-2.126 3.682 0.000
0.000 0.000 2.656
Mn Zn W
1 1 1
Direct
0.000 0.000 0.000 Mn
0.667 0.333 0.714 Zn
0.333 0.667 0.279 W
```

Excess energy over the best structure of this formula in the dataset, eV/f.u.: 0.000
Formation enthalpy at 0 K, eV/atom: 0.192
Space-group type: P3m1 (156)

=====

No. 12
# Tb3TmHg2

Tb3TmHg2 after structural relaxation (PBE, Alexandria).

Geometry as POSCAR:
```
Tb3TmHg2
1.0
5.138 0.000 0.000
0.000 9.251 0.000
0.000 0.000 7.000
Tb Tm Hg
6 2 4
Direct
0.000 0.053 0.000 Tb
0.000 0.328 0.340 Tb
0.000 0.672 0.840 Tb
0.000 0.947 0.500 Tb
0.500 0.176 0.688 Tb
0.500 0.824 0.188 Tb
0.500 0.447 0.030 Tm
0.500 0.553 0.530 Tm
0.000 0.349 0.781 Hg
0.000 0.651 0.281 Hg
0.500 0.151 0.249 Hg
0.500 0.849 0.749 Hg
```

Excess energy over the best structure of this formula in the dataset, eV/f.u.: 0.000
Formation enthalpy at 0 K, eV/atom: -0.357
Space-group type: Pmc2_1 (26)

=====

no.,total magnetization (μB per formula unit),electronic total energy (eV per atom)
1,0.00,-4.498
2,0.00,-3.484
3,0.06,-5.642
4,9.00,-4.577
5,0.00,-4.279
6,0.00,-4.895
7,0.64,-5.634
8,0.00,-6.097
9,0.00,-6.067
10,0.02,-4.488
11,1.08,-7.607
12,0.00,-3.518